## LiMn2F7 (GGA+U)

Data for crystalline LiMn2F7 at its relaxed geometry.

Cell and atoms, written as POSCAR:
```
LiMn2F7
1.0
13.1782 0.0000 0.0000
0.0000 5.0199 0.0000
-0.8057 0.0000 7.4060
Li Mn F
4 8 28
direct
0.0781 0.2397 0.3324 Li
0.0781 0.2603 0.8324 Li
0.9219 0.7397 0.1676 Li
0.9219 0.7603 0.6676 Li
0.1798 0.7488 0.6502 Mn
0.1798 0.7512 0.1502 Mn
0.3918 0.2467 0.2210 Mn
0.3918 0.2533 0.7210 Mn
0.6082 0.7467 0.2790 Mn
0.6082 0.7533 0.7790 Mn
0.8202 0.2488 0.8498 Mn
0.8202 0.2512 0.3498 Mn
0.0534 0.5654 0.1866 F
0.0534 0.9346 0.6866 F
0.1106 0.0523 0.0663 F
0.1106 0.4477 0.5663 F
0.1762 0.5830 0.9019 F
0.1762 0.9170 0.4019 F
0.2544 0.0434 0.7468 F
0.2544 0.4566 0.2468 F
0.3150 0.5543 0.6403 F
0.3150 0.9457 0.1403 F
0.3912 0.1324 0.4716 F
0.3912 0.3676 0.9716 F
0.4712 0.5406 0.2978 F
0.4712 0.9594 0.7978 F
0.5288 0.0406 0.2022 F
0.5288 0.4594 0.7022 F
0.6088 0.6324 0.0284 F
0.6088 0.8676 0.5284 F
0.6851 0.0543 0.8597 F
0.6851 0.4457 0.3597 F
0.7456 0.5434 0.7532 F
0.7456 0.9566 0.2532 F
0.8238 0.0830 0.5981 F
0.8238 0.4170 0.0981 F
0.8894 0.5523 0.4337 F
0.8894 0.9477 0.9337 F
0.9466 0.0654 0.3134 F
0.9466 0.4346 0.8134 F
```

Properties
Volume   12.248 A^3/atom
ΔE to the lowest computed polymorph   0.00 eV/f.u.
M_tot   8.00 μB per formula unit